First-principles (PBE) data for a geometry-optimized AcPm3Tl4 structure, as listed in the Alexandria database.

Properties
Spin magnetization ... 0.00 μB per formula unit
Energy of formation ... -362 meV per atom

Unit cell a=11.2100 b=7.8412 c=5.6067 alpha=90.00 beta=90.00 gamma=90.00
With the nearest neighbours (Å) after each atom.
Atoms (fractional coordinates):
1 Ac 0.0000 0.0000 0.0000  8 Tl 3.47
2 Ac 0.5000 0.0000 0.0000  8 Tl 3.47
3 Pm 0.0000 0.5000 0.0000  8 Tl 3.37
4 Pm 0.2500 0.0000 0.4990  8 Tl 3.47-3.48
5 Pm 0.2500 0.5000 0.4986  8 Tl 3.37
6 Pm 0.5000 0.5000 0.0000  8 Tl 3.37
7 Pm 0.7500 0.0000 0.5010  8 Tl 3.47-3.48
8 Pm 0.7500 0.5000 0.5014  8 Tl 3.37
9 Tl 0.0000 0.2619 0.5000  6 Pm 3.37-3.47, 2 Ac 3.47, 1 Tl 3.73
10 Tl 0.0000 0.7381 0.5000  6 Pm 3.37-3.47, 2 Ac 3.47, 1 Tl 3.73
11 Tl 0.2500 0.2620 0.9985  6 Pm 3.37-3.48, 2 Ac 3.47, 1 Tl 3.73
12 Tl 0.2500 0.7380 0.9985  6 Pm 3.37-3.48, 2 Ac 3.47, 1 Tl 3.73
13 Tl 0.5000 0.2619 0.5000  6 Pm 3.37-3.47, 2 Ac 3.47, 1 Tl 3.73
14 Tl 0.5000 0.7381 0.5000  6 Pm 3.37-3.47, 2 Ac 3.47, 1 Tl 3.73
15 Tl 0.7500 0.2620 0.0015  6 Pm 3.37-3.48, 2 Ac 3.47, 1 Tl 3.73
16 Tl 0.7500 0.7380 0.0015  6 Pm 3.37-3.48, 2 Ac 3.47, 1 Tl 3.73